Na6Ni7O14 | SCAN | single point on PBEsol structure

Cell lengths 7.6803, 7.6803, 15.7320 Å; angles 90.00, 90.00, 120.00 degrees
Space group R-3 (No. 148, hexagonal axes)
Inequivalent atoms, fractional coordinates:
1 Na 0.0641 0.2561 0.1666 x18
2 Ni 0.0000 0.0000 0.0000 x3
3 Ni 0.0438 0.2355 0.6688 x18
4 O 0.0000 0.0000 0.2597 x6
5 O 0.0435 0.2307 0.3910 x18
6 O 0.0645 0.2368 0.9361 x18

## Properties
* crystal system: trigonal
* calculated volume: 9.92 A^3/atom
* ΔE_f (raw): -39.1 eV per formula unit
* magnetic moment: 18.0 μB/cell
* DOS at the Fermi energy: 0.0354 states/eV per atom